Record 1
PBE-GGA KDyHgTe3, relaxed; total magnetization = 0.0015 μB/atom; mass density = 6.08 g/cm³
1.0
-4.672 9.102 -1.959
-6.235 6.518 -5.211
-6.210 -4.091 6.236
Dy Hg K Te
2 2 2 6
Cartesian
-11.616 11.149 -3.276
-5.501 0.380 2.343
-6.860 6.200 -1.629
-10.256 5.328 0.696
-1.950 1.907 -0.578
-15.166 9.622 -0.356
-5.453 7.810 -3.585
-4.793 4.245 -1.069
-9.563 9.029 -2.578
-3.105 -2.046 3.118
-7.553 2.499 1.645
-12.323 7.284 0.135



Record 2
PBE-GGA PrSb2O4, relaxed; total magnetization = 0.0000 μB/atom; mass density = 6.09 g/cm³
1.0
4.962 -4.963 0.000
-4.962 0.000 -4.963
4.962 4.963 0.000
O Pr Sb
8 2 4
Cartesian
3.816 -1.145 -1.145
-1.146 1.145 -3.817
1.146 -1.145 -3.817
1.335 1.336 -1.336
6.107 1.145 -1.145
1.335 3.627 -3.627
3.627 3.627 -1.336
3.627 1.336 -3.627
0.000 0.000 0.000
2.481 -2.481 -2.481
-1.240 -1.241 -3.722
6.202 -1.241 -1.241
3.721 1.241 -1.241
1.240 1.241 -3.722



Asked for VASP energy across the records above, the calculation gives -41.3 -86.7 eV for the cell shown in order.